A relaxed structure of CuIr2Au. Source: Alexandria via LeMat-Bulk, functional PBEsol.

The structure in CIF format:
```
data_CuIr2Au
_symmetry_space_group_name_H-M 'R -3 m'
_symmetry_Int_Tables_number 166
_symmetry_space_group_name_Hall '-R 3 2"'
_cell_length_a 2.7288
_cell_length_b 2.7288
_cell_length_c 26.4356
_cell_angle_alpha 90.00
_cell_angle_beta 90.00
_cell_angle_gamma 120.00
loop_
_atom_site_label
_atom_site_type_symbol
_atom_site_fract_x
_atom_site_fract_y
_atom_site_fract_z
_atom_site_occupancy
Cu1 Cu 0.0000 0.0000 0.0000 1
Ir1 Ir 0.0000 0.0000 0.2558 1
Au1 Au 0.0000 0.0000 0.5000 1
```

DOS(E_F) ... 14.634 states/eV per cell
Crystal system ... trigonal
Total magnetization ... 0.000 μB/atom
Distance to the lowest polymorph of the same formula ... 37 meV per atom
Calculated formation energy ... 0.2534 eV per atom

---

A relaxed structure of MgSbTe2. Source: Alexandria via LeMat-Bulk, functional PBEsol.

The structure in CIF format:
```
data_MgSbTe2
_symmetry_space_group_name_H-M 'R -3 m'
_symmetry_Int_Tables_number 166
_symmetry_space_group_name_Hall '-R 3 2"'
_cell_length_a 3.7293
_cell_length_b 3.7293
_cell_length_c 29.0952
_cell_angle_alpha 90.00
_cell_angle_beta 90.00
_cell_angle_gamma 120.00
loop_
_atom_site_label
_atom_site_type_symbol
_atom_site_fract_x
_atom_site_fract_y
_atom_site_fract_z
_atom_site_occupancy
Mg1 Mg 0.0000 0.0000 0.0000 1
Sb1 Sb 0.0000 0.0000 0.5000 1
Te1 Te 0.0000 0.0000 0.3981 1
```

DOS(E_F) ... 6.685 states/eV per cell
Crystal system ... trigonal
Total magnetization ... 0.000 μB/atom
Formation energy from raw total energies ... -0.132 eV/atom
Distance to the lowest polymorph of the same formula ... 255 meV per atom

---

A relaxed structure of MgAs2Au. Source: Alexandria via LeMat-Bulk, functional PBEsol.

The structure in CIF format:
```
data_MgAs2Au
_symmetry_space_group_name_H-M 'R -3 m'
_symmetry_Int_Tables_number 166
_symmetry_space_group_name_Hall '-R 3 2"'
_cell_length_a 3.9283
_cell_length_b 3.9283
_cell_length_c 17.8021
_cell_angle_alpha 90.00
_cell_angle_beta 90.00
_cell_angle_gamma 120.00
loop_
_atom_site_label
_atom_site_type_symbol
_atom_site_fract_x
_atom_site_fract_y
_atom_site_fract_z
_atom_site_occupancy
Mg1 Mg 0.0000 0.0000 0.0000 1
As1 As 0.0000 0.0000 0.2408 1
Au1 Au 0.0000 0.0000 0.5000 1
```

DOS(E_F) ... 5.658 states/eV per cell
Crystal system ... trigonal
Total magnetization ... 0.000 μB/atom
Calculated formation energy ... -0.0813 eV per atom

---

A relaxed structure of MgS. Source: Alexandria via LeMat-Bulk, functional PBEsol.

The structure in CIF format:
```
data_MgS
_symmetry_space_group_name_H-M 'F -4 3 m'
_symmetry_Int_Tables_number 216
_symmetry_space_group_name_Hall 'F -4 2 3'
_cell_length_a 5.652
_cell_length_b 5.652
_cell_length_c 5.652
_cell_angle_alpha 90.00
_cell_angle_beta 90.00
_cell_angle_gamma 90.00
loop_
_atom_site_label
_atom_site_type_symbol
_atom_site_fract_x
_atom_site_fract_y
_atom_site_fract_z
_atom_site_occupancy
Mg1 Mg 0.000 0.000 0.000 1
S1 S 0.250 0.250 0.750 1
```

DOS(E_F) ... 0.000 states/eV per cell
Crystal system ... cubic
Total magnetization ... 0.000 μB/atom
Formation energy from raw total energies ... -1.399 eV/atom